(w)
## LaDy3Tl (PBE)

Data for an optimized crystal structure of LaDy3Tl.

Geometry as POSCAR:
```
LaDy3Tl
1.0
-4.9119 0.5625 -0.0763
-0.0927 -1.4382 -4.6387
-3.9065 -11.8709 3.7586
Dy Tl La
6 2 2
Direct
0.8750 0.7500 0.8983 Dy
0.0727 0.7500 0.5030 Dy
0.3691 0.2500 0.9101 Dy
0.7733 0.2500 0.1017 Dy
0.5757 0.2500 0.4970 Dy
0.2792 0.7500 0.0899 Dy
0.6692 0.7500 0.3099 Tl
0.9792 0.2500 0.6901 Tl
0.1779 0.2500 0.2926 La
0.4705 0.7500 0.7074 La
```

Values from the calculation:
For the magnetization, the calculation gives 0.00 μB per formula unit. As for the space group: Cmcm.

---

(x)
## LaDy3Tl (PBE)

Data for an optimized crystal structure of LaDy3Tl.

Geometry as POSCAR:
```
LaDy3Tl
1.0
-1.9588 3.5904 -5.1595
-1.4561 -7.1422 -6.7308
-9.8503 -0.5116 1.0702
Dy Tl La
12 4 4
Direct
0.6375 0.8797 0.7342 Dy
0.6358 0.6281 0.9983 Dy
0.5209 0.7947 0.4068 Dy
0.9791 0.5932 0.2053 Dy
0.0209 0.4068 0.7947 Dy
0.4791 0.2053 0.5932 Dy
0.3642 0.3719 0.0017 Dy
0.8625 0.2658 0.1203 Dy
0.8642 0.0017 0.3719 Dy
0.1375 0.7342 0.8797 Dy
0.1358 0.9983 0.6281 Dy
0.3625 0.1203 0.2658 Dy
0.2500 0.0838 0.9162 Tl
0.2500 0.8342 0.1658 Tl
0.7500 0.9162 0.0838 Tl
0.7500 0.1658 0.8342 Tl
0.0200 0.6713 0.5367 La
0.4800 0.4633 0.3287 La
0.5200 0.5367 0.6713 La
0.9800 0.3287 0.4633 La
```

Values from the calculation:
For the magnetization, the calculation gives 0.00 μB per formula unit. As for the space group: C2/c.

---

What is the most stable structure shown above? It is (w).